(1)
# RbCoTc2, relaxed, DFT GGA-PBE
# - energy above the lowest structure with this stoichiometry (eV per formula unit) = 0.00
# - energy relative to the elements (eV/atom) = 1.60
# - DOS at the Fermi energy (states/eV/cell) = 27.716
data_RbCoTc2
_cell_length_a 4.897
_cell_length_b 4.897
_cell_length_c 16.483
_cell_angle_alpha 90.00
_cell_angle_beta 90.00
_cell_angle_gamma 90.00
_space_group_name_H-M_alt 'I 41/a m d'
_space_group_IT_number 141
loop_
_space_group_symop_operation_xyz
'x,y,z'
'-x,-y,-z'
'-y+1/4,x+3/4,z+1/4'
'y+1/4,-x+3/4,-z+1/4'
'-x+1/2,-y,z+1/2'
'x+1/2,y,-z+1/2'
'y+1/4,-x+1/4,z+3/4'
'-y+1/4,x+1/4,-z+3/4'
'x,-y,-z'
'-x,y,z'
'-y+1/4,-x+1/4,-z+3/4'
'y+1/4,x+1/4,z+3/4'
'-x+1/2,y,-z+1/2'
'x+1/2,-y,z+1/2'
'y+1/4,x+3/4,-z+1/4'
'-y+1/4,-x+3/4,z+1/4'
'x+1/2,y+1/2,z+1/2'
'-x+1/2,-y+1/2,-z+1/2'
'-y+3/4,x+1/4,z+3/4'
'y+3/4,-x+1/4,-z+3/4'
'-x,-y+1/2,z'
'x,y+1/2,-z'
'y+3/4,-x+3/4,z+1/4'
'-y+3/4,x+3/4,-z+1/4'
'x+1/2,-y+1/2,-z+1/2'
'-x+1/2,y+1/2,z+1/2'
'-y+3/4,-x+3/4,-z+1/4'
'y+3/4,x+3/4,z+1/4'
'-x,y+1/2,-z'
'x,-y+1/2,z'
'y+3/4,x+1/4,-z+3/4'
'-y+3/4,-x+1/4,z+3/4'
loop_
_atom_site_label
_atom_site_type_symbol
_atom_site_fract_x
_atom_site_fract_y
_atom_site_fract_z
Rb1 Rb 0.000 0.250 0.375
Co1 Co 0.000 0.250 0.875
Tc1 Tc 0.000 0.000 0.000

(2)
# PmPr2Tl2Cd2, relaxed, DFT GGA-PBE
# - energy relative to the elements (eV/atom) = -0.20
# - DOS at the Fermi energy (states/eV/cell) = 15.451
data_PmPr2Tl2Cd2
_cell_length_a 5.0541
_cell_length_b 5.0541
_cell_length_c 28.0540
_cell_angle_alpha 90.00
_cell_angle_beta 90.00
_cell_angle_gamma 120.00
_space_group_name_H-M_alt 'R -3 m'
_space_group_IT_number 166
_space_group_name_Hall '-R 3 2"'
loop_
_atom_site_label
_atom_site_type_symbol
_atom_site_fract_x
_atom_site_fract_y
_atom_site_fract_z
Pm1 Pm 0.0000 0.0000 0.0000
Pr1 Pr 0.0000 0.0000 0.1269
Tl1 Tl 0.0000 0.0000 0.2608
Cd1 Cd 0.0000 0.0000 0.3921

(3)
# KAl2Zn2, relaxed, DFT GGA-PBE
# - energy above the lowest structure with this stoichiometry (eV per formula unit) = 0.00
# - energy relative to the elements (eV/atom) = 0.05
# - DOS at the Fermi energy (states/eV/cell) = 4.671
data_KAl2Zn2
_cell_length_a 4.300
_cell_length_b 4.300
_cell_length_c 11.752
_cell_angle_alpha 90.00
_cell_angle_beta 90.00
_cell_angle_gamma 90.00
_space_group_name_H-M_alt 'I 4/m m m'
_space_group_IT_number 139
_space_group_name_Hall '-I 4 2'
loop_
_atom_site_label
_atom_site_type_symbol
_atom_site_fract_x
_atom_site_fract_y
_atom_site_fract_z
K1 K 0.000 0.000 0.000
Al1 Al 0.000 0.500 0.250
Zn1 Zn 0.000 0.000 0.385

(4)
# Sr2In2As, relaxed, DFT GGA-PBE
# - energy relative to the elements (eV/atom) = -0.41
# - DOS at the Fermi energy (states/eV/cell) = 6.787
data_Sr2In2As
_cell_length_a 7.826
_cell_length_b 7.826
_cell_length_c 5.129
_cell_angle_alpha 90.00
_cell_angle_beta 90.00
_cell_angle_gamma 90.00
_space_group_name_H-M_alt 'P 4/m b m'
_space_group_IT_number 127
_space_group_name_Hall '-P 4 2ab'
loop_
_atom_site_label
_atom_site_type_symbol
_atom_site_fract_x
_atom_site_fract_y
_atom_site_fract_z
Sr1 Sr 0.172 0.328 0.000
In1 In 0.134 0.634 0.500
As1 As 0.000 0.000 0.500

(5)
# AgRh2Cl, relaxed, DFT GGA-PBE
# - energy above the lowest structure with this stoichiometry (eV per formula unit) = 0.76
# - raw formation energy (eV per atom) = 0.369
# - DOS at the Fermi energy (states/eV/cell) = 13.659
data_AgRh2Cl
_cell_length_a 2.9268
_cell_length_b 2.9268
_cell_length_c 25.2014
_cell_angle_alpha 90.00
_cell_angle_beta 90.00
_cell_angle_gamma 120.00
_space_group_name_H-M_alt 'R -3 m'
_space_group_IT_number 166
_space_group_name_Hall '-R 3 2"'
loop_
_atom_site_label
_atom_site_type_symbol
_atom_site_fract_x
_atom_site_fract_y
_atom_site_fract_z
Ag1 Ag 0.0000 0.0000 0.0000
Rh1 Rh 0.0000 0.0000 0.2432
Cl1 Cl 0.0000 0.0000 0.5000

(6)
# NbRuO2, relaxed, DFT GGA-PBE
# - energy above the lowest structure with this stoichiometry (eV per formula unit) = 0.00
# - raw formation energy (eV per atom) = -1.253
# - DOS at the Fermi energy (states/eV/cell) = 5.885
data_NbRuO2
_cell_length_a 2.8189
_cell_length_b 2.8189
_cell_length_c 20.4957
_cell_angle_alpha 90.00
_cell_angle_beta 90.00
_cell_angle_gamma 120.00
_space_group_name_H-M_alt 'R -3 m'
_space_group_IT_number 166
_space_group_name_Hall '-R 3 2"'
loop_
_atom_site_label
_atom_site_type_symbol
_atom_site_fract_x
_atom_site_fract_y
_atom_site_fract_z
Nb1 Nb 0.0000 0.0000 0.0000
Ru1 Ru 0.0000 0.0000 0.5000
O1 O 0.0000 0.0000 0.4016

(7)
# NiMo2Pt2, relaxed, DFT GGA-PBE
# - energy above the lowest structure with this stoichiometry (eV per formula unit) = 1.63
# - energy relative to the elements (eV/atom) = 0.13
# - DOS at the Fermi energy (states/eV/cell) = 7.174
data_NiMo2Pt2
_cell_length_a 7.663
_cell_length_b 7.663
_cell_length_c 2.747
_cell_angle_alpha 90.00
_cell_angle_beta 90.00
_cell_angle_gamma 90.00
_space_group_name_H-M_alt 'P 4/m b m'
_space_group_IT_number 127
_space_group_name_Hall '-P 4 2ab'
loop_
_atom_site_label
_atom_site_type_symbol
_atom_site_fract_x
_atom_site_fract_y
_atom_site_fract_z
Ni1 Ni 0.000 0.000 0.000
Mo1 Mo 0.173 0.327 0.500
Pt1 Pt 0.125 0.625 0.000

(8)
# Ca4Pu, relaxed, DFT GGA-PBE
# - energy relative to the elements (eV/atom) = 0.69
# - DOS at the Fermi energy (states/eV/cell) = 9.233
data_Ca4Pu
_cell_length_a 6.003
_cell_length_b 6.003
_cell_length_c 6.003
_cell_angle_alpha 90.00
_cell_angle_beta 90.00
_cell_angle_gamma 90.00
_space_group_name_H-M_alt 'P m -3 m'
_space_group_IT_number 221
_space_group_name_Hall '-P 4 2 3'
loop_
_atom_site_label
_atom_site_type_symbol
_atom_site_fract_x
_atom_site_fract_y
_atom_site_fract_z
Ca1 Ca 0.000 0.000 0.000
Ca2 Ca 0.000 0.500 0.500
Pu1 Pu 0.500 0.500 0.500

Q: Which final energy values were calculated for the entries above? A: -0.2058, -0.1168, -0.0799, -0.1141, -0.1647, -0.3149, -0.2858, -0.1389, in hartree per atom.
Q: Which calculated density values were calculated for the entries above? A: 5.7, 8.5, 3.4, 5.1, 9.3, 8.0, 13.2, 3.1, in g/cm³.